Run 1
A relaxed ZrGa3Ni crystal, computed with PBE.

* N(E_F): 2.69 states/eV/cell

a = 4.4819 Å, b = 4.4819 Å, c = 4.4819 Å
α = 90.00°, β = 90.00°, γ = 90.00°
Last column: nearest neighbours and their distance in Å.
Space group Pm-3m (No. 221)
Inequivalent atoms, fractional coordinates:
Zr 0.0000 0.0000 0.0000 x1  12 Ga 3.17
Ga 0.0000 0.5000 0.5000 x3  2 Ni 2.24
Ni 0.5000 0.5000 0.5000 x1  6 Ga 2.24


Run 2
A relaxed ZrGa3Ni crystal, computed with PBE.

* N(E_F): 7.78 states/eV/cell

a = 8.1814 Å, b = 5.4142 Å, c = 7.2631 Å
α = 90.00°, β = 96.70°, γ = 90.00°
Last column: nearest neighbours and their distance in Å.
Space group P2_1/c (No. 14)
Inequivalent atoms, fractional coordinates:
Zr 0.1232 0.1253 0.1934 x4  1 Ni 2.83, 9 Ga 2.85-3.14
Ga 0.1213 0.6266 0.0580 x4  4 Ga 2.48-2.77
Ga 0.2852 0.6090 0.3701 x4  3 Ga 2.48-2.64, 3 Ni 2.50-2.67
Ga 0.3854 0.1707 0.4986 x4  4 Ni 2.46-2.62, 2 Ga 2.63-2.64
Ni 0.4473 0.5609 0.7093 x4  7 Ga 2.46-2.67


Run 3
A relaxed ZrGa3Ni crystal, computed with PBE.

* N(E_F): 6.63 states/eV/cell

a = 5.1467 Å, b = 5.1467 Å, c = 5.1467 Å
α = 90.00°, β = 90.00°, γ = 90.00°
Last column: nearest neighbours and their distance in Å.
Space group Pm-3m (No. 221)
Inequivalent atoms, fractional coordinates:
Zr 0.0000 0.0000 0.0000 x1  6 Ga 2.57
Ga 0.0000 0.0000 0.5000 x3  2 Zr 2.57
Ni 0.5000 0.5000 0.5000 x1  12 Ga 3.64


According to the calculations, the structures order from most to least stable as run 2, run 1, run 3.


Run 1
A relaxed Np3Ga crystal, computed with PBE.

* N(E_F): 25.89 states/eV/cell

a = 4.3121 Å, b = 4.3121 Å, c = 8.3297 Å
α = 90.00°, β = 90.00°, γ = 90.00°
Last column: nearest neighbours and their distance in Å.
Space group I4/mmm (No. 139)
Inequivalent atoms, fractional coordinates:
Np 0.0000 0.0000 0.0000 x2  8 Np 3.00, 4 Ga 3.05
Np 0.0000 0.5000 0.2500 x4  8 Np 3.00-3.05, 4 Ga 3.00
Ga 0.0000 0.0000 0.5000 x2  12 Np 3.00-3.05


Run 2
A relaxed Np3Ga crystal, computed with PBE.

* N(E_F): 11.45 states/eV/cell

a = 2.8037 Å, b = 5.0759 Å, c = 5.4918 Å
α = 90.00°, β = 90.00°, γ = 90.00°
Last column: nearest neighbours and their distance in Å.
Space group Pmm2 (No. 25)
Inequivalent atoms, fractional coordinates:
Np 0.0000 0.0000 0.0000 x1  4 Np 2.80-2.94, 4 Ga 2.99
Np 0.0000 0.5000 0.3833 x1  6 Np 2.80-3.01, 2 Ga 3.01
Np 0.5000 0.0000 0.5286 x1  8 Np 2.80-3.01
Ga 0.5000 0.5000 0.8680 x1  2 Ga 2.80, 6 Np 2.99-3.01


According to the calculations, the structures order from most to least stable as run 2, run 1.


Run 1
A relaxed NpGaP crystal, computed with PBE.

* N(E_F): 11.96 states/eV/cell

a = 5.1454 Å, b = 10.9386 Å, c = 3.6499 Å
α = 90.00°, β = 90.00°, γ = 90.00°
Last column: nearest neighbours and their distance in Å.
Space group Cmcm (No. 63)
Inequivalent atoms, fractional coordinates:
Np 0.0000 0.0759 0.2500 x4  2 Np 2.47
Ga 0.0000 0.4119 0.2500 x4  2 P 2.38, 2 Ga 2.65
P 0.0000 0.2725 0.7500 x4  2 Ga 2.38


Run 2
A relaxed NpGaP crystal, computed with PBE.

* N(E_F): 5.29 states/eV/cell

a = 4.2721 Å, b = 4.2721 Å, c = 3.5906 Å
α = 90.00°, β = 90.00°, γ = 120.00°
Last column: nearest neighbours and their distance in Å.
Space group P-6m2 (No. 187)
Inequivalent atoms, fractional coordinates:
Np 0.0000 0.0000 0.0000 x1  6 Ga 3.05, 6 P 3.05
Ga 0.6667 0.3333 0.5000 x1  3 P 2.47
P 0.3333 0.6667 0.5000 x1  3 Ga 2.47


According to the calculations, the structures order from most to least stable as run 1, run 2.


Run 1
A relaxed NpGaP2 crystal, computed with PBE.

* N(E_F): 29.08 states/eV/cell

a = 4.2722 Å, b = 4.2722 Å, c = 21.1867 Å
α = 90.00°, β = 90.00°, γ = 120.00°
Last column: nearest neighbours and their distance in Å.
Space group R-3m (No. 166, hexagonal axes)
Inequivalent atoms, fractional coordinates:
Np 0.0000 0.0000 0.0000 x3  6 P 2.80
Ga 0.0000 0.0000 0.5000 x3  2 P 2.21
P 0.0000 0.0000 0.3957 x6  1 Ga 2.21


Run 2
A relaxed NpGaP2 crystal, computed with PBE.

* N(E_F): 6.68 states/eV/cell

a = 4.3064 Å, b = 4.3064 Å, c = 3.6261 Å
α = 90.00°, β = 90.00°, γ = 90.00°
Last column: nearest neighbours and their distance in Å.
Space group P4/mmm (No. 123)
Inequivalent atoms, fractional coordinates:
Np 0.0000 0.0000 0.0000 x1  8 P 2.81, 4 Ga 3.05
Ga 0.5000 0.5000 0.0000 x1  8 P 2.81, 4 Np 3.05
P 0.0000 0.5000 0.5000 x2  4 Ga 2.81, 4 Np 2.81, 4 P 3.05


According to the calculations, the structures order from most to least stable as run 2, run 1.


Run 1
A relaxed NpPa2Ga crystal, computed with PBE.

* N(E_F): 28.81 states/eV/cell

a = 7.0576 Å, b = 7.0576 Å, c = 7.0576 Å
α = 90.00°, β = 90.00°, γ = 90.00°
Last column: nearest neighbours and their distance in Å.
Space group Fm-3m (No. 225)
Inequivalent atoms, fractional coordinates:
Np 0.0000 0.0000 0.0000 x4  8 Pa 3.06
Pa 0.2500 0.2500 0.2500 x8  4 Ga 3.06, 4 Np 3.06
Ga 0.0000 0.0000 0.5000 x4  8 Pa 3.06


Run 2
A relaxed NpPa2Ga crystal, computed with PBE.

* N(E_F): 9.91 states/eV/cell

a = 3.6929 Å, b = 3.6929 Å, c = 6.4512 Å
α = 90.00°, β = 90.00°, γ = 90.00°
Last column: nearest neighbours and their distance in Å.
Space group P4/mmm (No. 123)
Inequivalent atoms, fractional coordinates:
Np 0.0000 0.0000 0.0000 x1  8 Pa 3.05, 2 Ga 3.23
Pa 0.5000 0.5000 0.2445 x2  4 Np 3.05, 4 Ga 3.09, 2 Pa 3.15-3.30
Ga 0.0000 0.0000 0.5000 x1  8 Pa 3.09, 2 Np 3.23


According to the calculations, the structures order from most to least stable as run 1, run 2.


Run 1
A relaxed NpPa2Ga crystal, computed with PBE.

* N(E_F): 17.43 states/eV/cell

a = 3.6043 Å, b = 3.6043 Å, c = 23.6238 Å
α = 90.00°, β = 90.00°, γ = 120.00°
Last column: nearest neighbours and their distance in Å.
Space group R-3m (No. 166, hexagonal axes)
Inequivalent atoms, fractional coordinates:
Np 0.0000 0.0000 0.0000 x3  6 Pa 2.67
Pa 0.0000 0.0000 0.2628 x6  3 Np 2.67
Ga 0.0000 0.0000 0.5000 x3  6 Pa 3.08


Run 2
A relaxed NpPa2Ga crystal, computed with PBE.

* N(E_F): 10.07 states/eV/cell

a = 4.6165 Å, b = 4.6165 Å, c = 4.1406 Å
α = 90.00°, β = 90.00°, γ = 90.00°
Last column: nearest neighbours and their distance in Å.
Space group P4/mmm (No. 123)
Inequivalent atoms, fractional coordinates:
Np 0.0000 0.0000 0.0000 x1  8 Pa 3.10, 4 Ga 3.26
Pa 0.0000 0.5000 0.5000 x2  4 Np 3.10, 4 Ga 3.10, 4 Pa 3.26
Ga 0.5000 0.5000 0.0000 x1  8 Pa 3.10, 4 Np 3.26


According to the calculations, the structures order from most to least stable as run 2, run 1.


Run 1
A relaxed NpGa2Pb crystal, computed with PBE.

* N(E_F): 35.45 states/eV/cell

a = 7.2222 Å, b = 7.2222 Å, c = 7.2222 Å
α = 90.00°, β = 90.00°, γ = 90.00°
Last column: nearest neighbours and their distance in Å.
Space group Fm-3m (No. 225)
Inequivalent atoms, fractional coordinates:
Np 0.0000 0.0000 0.0000 x4  8 Ga 3.13
Ga 0.2500 0.2500 0.2500 x8  4 Pb 3.13, 4 Np 3.13
Pb 0.0000 0.0000 0.5000 x4  8 Ga 3.13


Run 2
A relaxed NpGa2Pb crystal, computed with PBE.

* N(E_F): 8.66 states/eV/cell

a = 4.5663 Å, b = 4.5663 Å, c = 4.2798 Å
α = 90.00°, β = 90.00°, γ = 90.00°
Last column: nearest neighbours and their distance in Å.
Space group P4/mmm (No. 123)
Inequivalent atoms, fractional coordinates:
Np 0.0000 0.0000 0.0000 x1  8 Ga 3.13, 4 Pb 3.23
Ga 0.0000 0.5000 0.5000 x2  4 Pb 3.13, 4 Np 3.13, 4 Ga 3.23
Pb 0.5000 0.5000 0.0000 x1  8 Ga 3.13, 4 Np 3.23


According to the calculations, the structures order from most to least stable as run 2, run 1.


Run 1
A relaxed NpGa2Pt2 crystal, computed with PBE.

* N(E_F): 23.12 states/eV/cell

a = 4.1115 Å, b = 4.1115 Å, c = 11.1257 Å
α = 90.00°, β = 90.00°, γ = 90.00°
Last column: nearest neighbours and their distance in Å.
Space group P4/nmm (No. 129, origin choice 2)
Inequivalent atoms, fractional coordinates:
Np 0.2500 0.2500 0.2480 x2  8 Pt 3.13-3.48, 8 Ga 3.19-3.44
Ga 0.2500 0.2500 0.6337 x2  5 Pt 2.48-2.54
Ga 0.2500 0.7500 0.0000 x2  4 Pt 2.60, 4 Ga 2.91
Pt 0.2500 0.2500 0.8570 x2  5 Ga 2.48-2.60
Pt 0.2500 0.7500 0.5000 x2  4 Ga 2.54


Run 2
A relaxed NpGa2Pt2 crystal, computed with PBE.

* N(E_F): 49.44 states/eV/cell

a = 7.0751 Å, b = 5.8922 Å, c = 9.2569 Å
α = 90.00°, β = 90.00°, γ = 90.00°
Last column: nearest neighbours and their distance in Å.
Space group Cmcm (No. 63)
Inequivalent atoms, fractional coordinates:
Np 0.0000 0.2226 0.2500 x4  4 Pt 3.04, 6 Ga 3.05-3.38
Ga 0.0000 0.3079 0.6114 x8  4 Pt 2.55-2.57, 1 Ga 2.57
Pt 0.2078 0.0000 0.0000 x8  4 Ga 2.55-2.57


According to the calculations, the structures order from most to least stable as run 1, run 2.